A plane-wave DFT calculation with PBE-GGA was carried out for an optimized crystal structure of Nd3Ag2Sn4.

Unit cell a=4.7342 b=6.3138 c=9.1086 alpha=107.37 beta=90.00 gamma=112.02
Fractional coordinates of all 9 atoms:
Sn 0.7036 0.4071 0.0670
Sn 0.9301 0.8602 0.6122
Sn 0.0699 0.1398 0.3878
Sn 0.2964 0.5929 0.9330
Ag 0.6880 0.3760 0.3672
Ag 0.3120 0.6240 0.6328
Nd 0.3646 0.7292 0.3096
Nd 0.6354 0.2708 0.6904
Nd 0.0000 0.0000 0.0000

Total magnetization ... 0.00 μB per atom
E_form ... -0.595 eV/atom

---

A plane-wave DFT calculation with PBE-GGA was carried out for an optimized crystal structure of Nd6AgSn2.

Unit cell a=6.3814 b=8.6980 c=10.3394 alpha=90.00 beta=87.94 gamma=90.00
Fractional coordinates of all 18 atoms:
Nd 0.3972 0.8106 0.4463
Nd 0.8765 0.6618 0.5517
Nd 0.3765 0.8382 0.0517
Nd 0.1261 0.0351 0.7750
Nd 0.3739 0.5351 0.7250
Nd 0.6261 0.4649 0.2750
Nd 0.1235 0.3382 0.4483
Nd 0.6028 0.1894 0.5537
Nd 0.8972 0.6894 0.9463
Nd 0.8739 0.9649 0.2250
Nd 0.1028 0.3106 0.0537
Nd 0.6235 0.1618 0.9483
Sn 0.0955 0.6200 0.2451
Sn 0.4045 0.1200 0.2549
Sn 0.5955 0.8800 0.7451
Sn 0.9045 0.3800 0.7549
Ag 0.5000 0.5000 0.0000
Ag 0.0000 0.0000 0.5000

Total magnetization ... 0.00 μB per atom
E_form ... -0.346 eV/atom

---

A plane-wave DFT calculation with PBE-GGA was carried out for an optimized crystal structure of Nd3Ag4Sn2.

Unit cell a=4.7852 b=6.1239 c=9.2655 alpha=112.95 beta=90.00 gamma=113.00
Fractional coordinates of all 9 atoms:
Nd 0.0000 0.0000 0.0000
Nd 0.3432 0.6863 0.3227
Nd 0.6568 0.3137 0.6773
Sn 0.3788 0.7576 0.7159
Sn 0.6212 0.2424 0.2841
Ag 0.2888 0.5776 0.9563
Ag 0.0837 0.1675 0.4207
Ag 0.7112 0.4224 0.0437
Ag 0.9163 0.8325 0.5793

Total magnetization ... 0.00 μB per atom
E_form ... -0.464 eV/atom

---

A plane-wave DFT calculation with PBE-GGA was carried out for an optimized crystal structure of NdAgSn3.

Unit cell a=6.2853 b=6.3047 c=13.0721 alpha=90.00 beta=90.00 gamma=90.00
Fractional coordinates of all 20 atoms:
Sn 0.0000 0.2500 0.5007
Sn 0.7500 0.8524 0.0729
Sn 0.5000 0.7500 0.4993
Sn 0.7500 0.0091 0.7459
Sn 0.2500 0.9909 0.2541
Sn 0.5000 0.2500 0.5007
Sn 0.0000 0.7500 0.4993
Sn 0.2500 0.1476 0.9271
Sn 0.2500 0.4909 0.7459
Sn 0.2500 0.6476 0.0729
Sn 0.7500 0.3524 0.9271
Sn 0.7500 0.5091 0.2541
Nd 0.7500 0.0060 0.3080
Nd 0.7500 0.5060 0.6920
Nd 0.2500 0.9940 0.6920
Nd 0.2500 0.4940 0.3080
Ag 0.0000 0.7500 0.8910
Ag 0.0000 0.2500 0.1090
Ag 0.5000 0.2500 0.1090
Ag 0.5000 0.7500 0.8910

Total magnetization ... 0.00 μB per atom
E_form ... -0.352 eV/atom

---

A plane-wave DFT calculation with PBE-GGA was carried out for an optimized crystal structure of Nd2AgSn2.

Unit cell a=4.7291 b=6.2603 c=10.2839 alpha=88.73 beta=76.71 gamma=67.81
Fractional coordinates of all 10 atoms:
Sn 0.3530 0.1783 0.1157
Sn 0.9280 0.7159 0.4281
Sn 0.6470 0.8217 0.8843
Sn 0.0720 0.2841 0.5719
Nd 0.9192 0.2632 0.8985
Nd 0.0808 0.7368 0.1015
Nd 0.6801 0.3092 0.3306
Nd 0.3199 0.6908 0.6694
Ag 0.3704 0.9131 0.3460
Ag 0.6296 0.0869 0.6540

Total magnetization ... 0.00 μB per atom
E_form ... -0.644 eV/atom

---

A plane-wave DFT calculation with PBE-GGA was carried out for an optimized crystal structure of Nd3Ag4Sn4.

Unit cell a=3.9766 b=4.7745 c=14.8472 alpha=80.72 beta=82.26 gamma=89.97
Fractional coordinates of all 11 atoms:
Sn 0.3132 0.8109 0.3766
Sn 0.5453 0.5494 0.9009
Sn 0.6868 0.1891 0.6234
Sn 0.4547 0.4506 0.0991
Nd 0.0000 0.0000 0.0000
Nd 0.1436 0.6450 0.7104
Nd 0.8565 0.3550 0.2895
Ag 0.7428 0.7426 0.5164
Ag 0.4044 0.9057 0.1888
Ag 0.2572 0.2575 0.4837
Ag 0.5956 0.0943 0.8112

Total magnetization ... 0.00 μB per atom
E_form ... -0.454 eV/atom

---

A plane-wave DFT calculation with PBE-GGA was carried out for an optimized crystal structure of Nd2AgSn.

Unit cell a=4.0926 b=5.2241 c=5.2241 alpha=90.00 beta=90.00 gamma=90.00
Last column: magnetic moment on the atom in μB.
Fractional coordinates of all 4 atoms:
Ag 0.5000 0.5000 0.5000  0.01
Nd 0.0000 0.5000 0.0000  0.07
Nd 0.0000 0.0000 0.5000  0.07
Sn 0.5000 0.0000 0.0000  0.00

Total magnetization ... 0.07 μB per atom
E_form ... -0.488 eV/atom

---

A plane-wave DFT calculation with PBE-GGA was carried out for an optimized crystal structure of Nd5Ag2Sn4.

Unit cell a=4.3617 b=4.9324 c=15.4010 alpha=99.20 beta=98.14 gamma=90.00
Fractional coordinates of all 11 atoms:
Nd 0.5000 0.0000 0.0000
Nd 0.8491 0.3487 0.6982
Nd 0.2520 0.2523 0.5040
Nd 0.1509 0.6513 0.3018
Nd 0.7480 0.7477 0.4960
Ag 0.9113 0.9107 0.8226
Ag 0.0887 0.0893 0.1774
Sn 0.0456 0.5463 0.0913
Sn 0.9544 0.4537 0.9087
Sn 0.3349 0.8348 0.6698
Sn 0.6651 0.1652 0.3302

Total magnetization ... 0.00 μB per atom
E_form ... -0.383 eV/atom

---

A plane-wave DFT calculation with PBE-GGA was carried out for an optimized crystal structure of NdAg3Sn2.

Unit cell a=4.6273 b=9.5701 c=7.2599 alpha=117.34 beta=90.00 gamma=103.99
Fractional coordinates of all 12 atoms:
Ag 0.3055 0.6110 0.5175
Ag 0.6945 0.3890 0.4825
Ag 0.6345 0.2689 0.7763
Ag 0.9292 0.8584 0.5301
Ag 0.3655 0.7311 0.2237
Ag 0.0708 0.1416 0.4699
Sn 0.2346 0.4693 0.7836
Sn 0.4819 0.9639 0.7760
Sn 0.5181 0.0361 0.2240
Sn 0.7654 0.5307 0.2164
Nd 0.8791 0.7582 0.9250
Nd 0.1209 0.2418 0.0750

Total magnetization ... 0.00 μB per atom
E_form ... -0.311 eV/atom

---

A plane-wave DFT calculation with PBE-GGA was carried out for an optimized crystal structure of NdAg2Sn.

Unit cell a=4.5925 b=8.9475 c=9.8343 alpha=90.00 beta=90.00 gamma=104.87
Fractional coordinates of all 16 atoms:
Sn 0.8586 0.7171 0.5276
Sn 0.1414 0.2829 0.4724
Sn 0.8586 0.7171 0.9724
Sn 0.1414 0.2829 0.0276
Ag 0.8881 0.7762 0.2500
Ag 0.0453 0.0907 0.2500
Ag 0.6937 0.3873 0.8954
Ag 0.6937 0.3873 0.6046
Ag 0.1119 0.2238 0.7500
Ag 0.3063 0.6127 0.1046
Ag 0.9547 0.9093 0.7500
Ag 0.3063 0.6127 0.3954
Nd 0.3007 0.6014 0.7500
Nd 0.6993 0.3986 0.2500
Nd 0.5000 0.0000 0.5000
Nd 0.5000 0.0000 0.0000

Total magnetization ... 0.00 μB per atom
E_form ... -0.353 eV/atom

---

A plane-wave DFT calculation with PBE-GGA was carried out for an optimized crystal structure of Nd2Ag3Sn2.

Unit cell a=4.6966 b=6.0678 c=7.0156 alpha=108.96 beta=90.00 gamma=112.77
Fractional coordinates of all 7 atoms:
Sn 0.1466 0.2932 0.2279
Sn 0.8534 0.7068 0.7721
Ag 0.6014 0.2027 0.4296
Ag 0.3986 0.7973 0.5704
Ag 0.5000 0.0000 0.0000
Nd 0.1465 0.2930 0.7512
Nd 0.8535 0.7070 0.2488

Total magnetization ... 0.00 μB per atom
E_form ... -0.440 eV/atom

---

A plane-wave DFT calculation with PBE-GGA was carried out for an optimized crystal structure of Nd2AgSn.

Unit cell a=4.1123 b=4.1123 c=8.7926 alpha=76.48 beta=76.48 gamma=60.00
Fractional coordinates of all 4 atoms:
Nd 0.2481 0.2481 0.2557
Nd 0.7519 0.7519 0.7443
Sn 0.0000 0.0000 0.0000
Ag 0.5000 0.5000 0.5000

Total magnetization ... 0.00 μB per atom
E_form ... -0.254 eV/atom